# 1
VASP calculation (PBE) on an optimized crystal structure of NiRu3.

Cell lengths 2.718, 8.472, 4.619 Å; angles 90.00, 90.00, 90.00 degrees
Space group Imm2 (No. 44)
One atom of each set of equivalent atoms:
Ni (0.000, 0.000, 0.000) (multiplicity 2)
Ru (0.000, 0.252, 0.337) (multiplicity 4)
Ru (0.000, 0.500, 0.995) (multiplicity 2)

## Properties
Raw total energy, eV per atom: -8.294
D(E_F), states/eV/cell: 8.7
Energy relative to the elements, meV/atom: 108

# 2
VASP calculation (PBE) on an optimized crystal structure of MgAgI2.

Cell lengths 6.697, 6.697, 14.497 Å; angles 90.00, 90.00, 90.00 degrees
Space group I-42d (No. 122)
One atom of each set of equivalent atoms:
Mg (0.000, 0.000, 0.000) (multiplicity 4)
Ag (0.000, 0.000, 0.500) (multiplicity 4)
I (0.242, 0.250, 0.625) (multiplicity 8)

## Properties
Raw total energy, eV per atom: -2.097
Energy relative to the lowest polymorph listed for this composition, kJ/mol of formula units: 44.4
D(E_F), states/eV/cell: 6.5
ΔE_f (raw), meV per atom: -211

# 3
VASP calculation (PBE) on an optimized crystal structure of UNi6Sn.

Cell lengths 5.3235, 5.3235, 4.3583 Å; angles 90.00, 90.00, 120.00 degrees
Space group P-6m2 (No. 187)
One atom of each set of equivalent atoms:
U (0.0000, 0.0000, 0.0000) (multiplicity 1)
Ni (0.3499, 0.1750, 0.5000) (multiplicity 3)
Ni (0.5075, 0.0150, 0.0000) (multiplicity 3)
Sn (0.3333, 0.6667, 0.5000) (multiplicity 1)

## Properties
Raw total energy, eV per atom: -6.447
D(E_F), states/eV/cell: 7.0
Energy relative to the elements, meV/atom: -200

# 4
VASP calculation (PBE) on an optimized crystal structure of In2SiSb.

Cell lengths 3.745, 5.120, 10.588 Å; angles 90.00, 90.00, 90.00 degrees
Space group Imm2 (No. 44)
One atom of each set of equivalent atoms:
In (0.000, 0.000, 0.000) (multiplicity 2)
In (0.000, 0.500, 0.212) (multiplicity 2)
Si (0.000, 0.000, 0.480) (multiplicity 2)
Sb (0.000, 0.500, 0.796) (multiplicity 2)

## Properties
Raw total energy, eV per atom: -3.531
Energy relative to the lowest polymorph listed for this composition, kJ/mol of formula units: 23.5
D(E_F), states/eV/cell: 2.2
ΔE_f (raw), meV per atom: 225

# 5
VASP calculation (PBE) on an optimized crystal structure of Al2TeCl.

Cell lengths 4.2701, 4.2701, 19.3286 Å; angles 90.00, 90.00, 120.00 degrees
Space group R-3m (No. 166, hexagonal axes)
One atom of each set of equivalent atoms:
Al (0.0000, 0.0000, 0.2503) (multiplicity 6)
Te (0.0000, 0.0000, 0.5000) (multiplicity 3)
Cl (0.0000, 0.0000, 0.0000) (multiplicity 3)

## Properties
Raw total energy, eV per atom: -3.268
Energy relative to the lowest polymorph listed for this composition, kJ/mol of formula units: 108.5
D(E_F), states/eV/cell: 7.3
ΔE_f (raw), meV per atom: -150

# 6
VASP calculation (PBE) on an optimized crystal structure of Al2ZnFe2.

Cell lengths 6.450, 6.450, 3.125 Å; angles 90.00, 90.00, 90.00 degrees
Space group P4/mbm (No. 127)
One atom of each set of equivalent atoms:
Al (0.151, 0.349, 0.000) (multiplicity 4)
Zn (0.000, 0.000, 0.500) (multiplicity 2)
Fe (0.146, 0.646, 0.500) (multiplicity 4)

## Properties
Raw total energy, eV per atom: -5.230
Energy relative to the lowest polymorph listed for this composition, kJ/mol of formula units: 0.0
D(E_F), states/eV/cell: 0.7
Energy relative to the elements, meV/atom: -94

# 7
VASP calculation (PBE) on an optimized crystal structure of Rb3TlHg2Br9.

Cell lengths 8.0554, 8.0554, 9.8637 Å; angles 90.00, 90.00, 120.00 degrees
Space group P-3m1 (No. 164)
One atom of each set of equivalent atoms:
Rb (0.0000, 0.0000, 0.0000) (multiplicity 1)
Rb (0.3333, 0.6667, 0.6767) (multiplicity 2)
Tl (0.0000, 0.0000, 0.5000) (multiplicity 1)
Hg (0.3333, 0.6667, 0.1629) (multiplicity 2)
Br (0.0000, 0.5000, 0.0000) (multiplicity 3)
Br (0.1692, 0.3383, 0.3314) (multiplicity 6)

## Properties
Raw total energy, eV per atom: -2.373
D(E_F), states/eV/cell: 1.4
ΔE_f (raw), meV per atom: -978

# 8
VASP calculation (PBE) on an optimized crystal structure of Pr5Ga6.

Cell lengths 5.158, 7.386, 15.934 Å; angles 90.00, 90.00, 90.00 degrees
Space group Immm (No. 71)
One atom of each set of equivalent atoms:
Pr (0.000, 0.000, 0.000) (multiplicity 2)
Pr (0.000, 0.000, 0.369) (multiplicity 4)
Pr (0.000, 0.500, 0.316) (multiplicity 4)
Ga (0.000, 0.238, 0.167) (multiplicity 8)
Ga (0.000, 0.297, 0.500) (multiplicity 4)

## Properties
Raw total energy, eV per atom: -4.248
D(E_F), states/eV/cell: 15.1
Energy relative to the elements, meV/atom: -425

# 9
VASP calculation (PBE) on an optimized crystal structure of La3UTe6.

Cell lengths 12.436, 15.381, 7.867 Å; angles 90.00, 90.00, 90.00 degrees
Space group Cmc2_1 (No. 36)
One atom of each set of equivalent atoms:
La (0.000, 0.096, 0.000) (multiplicity 4)
La (0.186, 0.396, 0.887) (multiplicity 8)
U (0.000, 0.337, 0.377) (multiplicity 4)
Te (0.000, 0.266, 0.739) (multiplicity 4)
Te (0.000, 0.495, 0.125) (multiplicity 4)
Te (0.165, 0.035, 0.699) (multiplicity 8)
Te (0.167, 0.238, 0.175) (multiplicity 8)

## Properties
Raw total energy, eV per atom: -5.739
D(E_F), states/eV/cell: 25.5
ΔE_f (raw), meV per atom: -1247

# 10
VASP calculation (PBE) on an optimized crystal structure of InSb2HPt.

Cell lengths 5.347, 5.347, 3.475 Å; angles 90.00, 90.00, 90.00 degrees
Space group P4/mmm (No. 123)
One atom of each set of equivalent atoms:
In (0.000, 0.000, 0.000) (multiplicity 1)
Sb (0.000, 0.500, 0.500) (multiplicity 2)
H (0.500, 0.500, 0.500) (multiplicity 1)
Pt (0.500, 0.500, 0.000) (multiplicity 1)

## Properties
Raw total energy, eV per atom: -3.900
D(E_F), states/eV/cell: 2.7

# 11
VASP calculation (PBE) on an optimized crystal structure of TbCePt2.

Cell lengths 4.0940, 4.0940, 20.2195 Å; angles 90.00, 90.00, 120.00 degrees
Space group R-3m (No. 166, hexagonal axes)
One atom of each set of equivalent atoms:
Tb (0.0000, 0.0000, 0.0000) (multiplicity 3)
Ce (0.0000, 0.0000, 0.5000) (multiplicity 3)
Pt (0.0000, 0.0000, 0.2493) (multiplicity 6)

## Properties
Raw total energy, eV per atom: -6.773
D(E_F), states/eV/cell: 12.7
Energy relative to the elements, meV/atom: -1112

# 12
VASP calculation (PBE) on an optimized crystal structure of YTaIr2F.

Cell lengths 4.902, 4.902, 5.301 Å; angles 90.00, 90.00, 90.00 degrees
Space group P4/mmm (No. 123)
One atom of each set of equivalent atoms:
Y (0.000, 0.000, 0.000) (multiplicity 1)
Ta (0.000, 0.000, 0.500) (multiplicity 1)
Ir (0.000, 0.500, 0.000) (multiplicity 2)
F (0.500, 0.500, 0.500) (multiplicity 1)

## Properties
Raw total energy, eV per atom: -5.408
D(E_F), states/eV/cell: 9.0
ΔE_f (raw), meV per atom: 2174

# 13
VASP calculation (PBE) on an optimized crystal structure of MnAu2.

Cell lengths 2.854, 4.574, 7.876 Å; angles 90.00, 90.00, 90.00 degrees
Space group Pmmn (No. 59, origin choice 2)
One atom of each set of equivalent atoms:
Mn (0.250, 0.250, 0.242) (multiplicity 2)
Au (0.250, 0.250, 0.899) (multiplicity 2)
Au (0.250, 0.750, 0.436) (multiplicity 2)

## Properties
Raw total energy, eV per atom: -5.209
Energy relative to the lowest polymorph listed for this composition, kJ/mol of formula units: 38.8
D(E_F), states/eV/cell: 3.6
Energy relative to the elements, meV/atom: 32

# 14
VASP calculation (PBE) on an optimized crystal structure of BeTcW3.

Cell lengths 4.689, 4.689, 4.689 Å; angles 90.00, 90.00, 90.00 degrees
Space group Pm-3m (No. 221)
One atom of each set of equivalent atoms:
Be (0.000, 0.000, 0.000) (multiplicity 1)
Tc (0.500, 0.500, 0.500) (multiplicity 1)
W (0.000, 0.500, 0.500) (multiplicity 3)

## Properties
Raw total energy, eV per atom: -8.349
Energy relative to the lowest polymorph listed for this composition, kJ/mol of formula units: 679.1
D(E_F), states/eV/cell: 5.3
Energy relative to the elements, meV/atom: 2241

# 15
VASP calculation (PBE) on an optimized crystal structure of PrSi2Ni5.

Cell lengths 3.679, 6.591, 9.234 Å; angles 90.00, 90.00, 90.00 degrees
Space group Immm (No. 71)
One atom of each set of equivalent atoms:
Pr (0.000, 0.000, 0.000) (multiplicity 2)
Si (0.000, 0.500, 0.241) (multiplicity 4)
Ni (0.000, 0.187, 0.349) (multiplicity 8)
Ni (0.000, 0.500, 0.000) (multiplicity 2)

## Properties
Raw total energy, eV per atom: -6.125
D(E_F), states/eV/cell: 8.5
ΔE_f (raw), meV per atom: -558

# 16
VASP calculation (PBE) on an optimized crystal structure of CsCu3F8.

Cell lengths 5.4083, 5.4083, 8.1004 Å; angles 90.00, 90.00, 120.00 degrees
Space group P-3 (No. 147)
One atom of each set of equivalent atoms:
Cs (0.0000, 0.0000, 0.0000) (multiplicity 1)
Cu (0.0000, 0.0000, 0.5000) (multiplicity 1)
Cu (0.3333, 0.6667, 0.6805) (multiplicity 2)
F (0.0033, 0.7033, 0.6382) (multiplicity 6)
F (0.3333, 0.6667, 0.9066) (multiplicity 2)

## Properties
Raw total energy, eV per atom: -3.982
D(E_F), states/eV/cell: 8.9
ΔE_f (raw), meV per atom: -1639

# 17
VASP calculation (PBE) on an optimized crystal structure of Hg4Ru3.

Cell lengths 2.929, 2.929, 30.283 Å; angles 90.00, 90.00, 90.00 degrees
Space group I4/mmm (No. 139)
One atom of each set of equivalent atoms:
Hg (0.000, 0.000, 0.068) (multiplicity 4)
Hg (0.000, 0.000, 0.345) (multiplicity 4)
Ru (0.000, 0.000, 0.224) (multiplicity 4)
Ru (0.000, 0.000, 0.500) (multiplicity 2)

## Properties
Raw total energy, eV per atom: -3.739
Energy relative to the lowest polymorph listed for this composition, kJ/mol of formula units: 0.0
D(E_F), states/eV/cell: 10.7
Energy relative to the elements, meV/atom: 409

# 18
VASP calculation (PBE) on an optimized crystal structure of ZnAgMo2.

Cell lengths 3.466, 3.466, 5.432 Å; angles 90.00, 90.00, 90.00 degrees
Space group P4/mmm (No. 123)
One atom of each set of equivalent atoms:
Zn (0.000, 0.000, 0.000) (multiplicity 1)
Ag (0.000, 0.000, 0.500) (multiplicity 1)
Mo (0.500, 0.500, 0.211) (multiplicity 2)

## Properties
Raw total energy, eV per atom: -5.992
D(E_F), states/eV/cell: 2.0
Energy relative to the elements, meV/atom: 455

# 19
VASP calculation (PBE) on an optimized crystal structure of AcCeYTh.

Cell lengths 8.203, 8.203, 8.203 Å; angles 90.00, 90.00, 90.00 degrees
Space group F-43m (No. 216)
One atom of each set of equivalent atoms:
Ac (0.000, 0.000, 0.000) (multiplicity 4)
Ce (0.250, 0.250, 0.750) (multiplicity 4)
Y (0.250, 0.250, 0.250) (multiplicity 4)
Th (0.000, 0.000, 0.500) (multiplicity 4)

## Properties
Raw total energy, eV per atom: -5.743
D(E_F), states/eV/cell: 54.1
Energy relative to the elements, meV/atom: 239

# 20
VASP calculation (PBE) on an optimized crystal structure of ScInCuRu.

Cell lengths 3.391, 4.304, 4.588 Å; angles 90.00, 90.00, 90.00 degrees
Space group Pmmm (No. 47)
One atom of each set of equivalent atoms:
Sc (0.000, 0.000, 0.000) (multiplicity 1)
In (0.000, 0.500, 0.500) (multiplicity 1)
Cu (0.500, 0.000, 0.500) (multiplicity 1)
Ru (0.500, 0.500, 0.000) (multiplicity 1)

## Properties
Raw total energy, eV per atom: -5.895
Energy relative to the lowest polymorph listed for this composition, kJ/mol of formula units: 0.0
D(E_F), states/eV/cell: 2.5
Energy relative to the elements, meV/atom: -284